1.
The following is a DFT calculation (PBE) of a geometry-optimized CePrPb structure.

Properties
energy relative to the elements	-0.42	eV per atom
E above lowest polymorph	0.0	kJ per mole of atoms

Cell lengths 4.563, 4.563, 9.122 Å; angles 89.27, 90.73, 89.95 degrees
Last column: magnetic moment on the atom in μB.
Sites, in units of the cell vectors:
Ce (0.782, 0.782, 0.000)  0.63
Ce (0.218, 0.218, 0.000)  0.63
Pr (0.751, 0.249, 0.642)  0.16
Pr (0.249, 0.751, 0.358)  0.16
Pb (0.258, 0.742, 0.728)  -0.02
Pb (0.742, 0.258, 0.272)  -0.02


2.
The following is a DFT calculation (PBE) of a geometry-optimized Ce2PrPb2 structure.

Properties
energy relative to the elements	-0.26	eV per atom
E above lowest polymorph	5.9	kJ per mole of atoms

Cell lengths 8.605, 8.605, 6.582 Å; angles 40.15, 40.15, 37.62 degrees
Last column: magnetic moment on the atom in μB.
Sites, in units of the cell vectors:
Ce (0.334, 0.334, 0.616)  0.93
Ce (0.666, 0.666, 0.384)  0.93
Pr (0.000, 0.000, 0.000)  0.39
Pb (0.667, 0.667, 0.885)  -0.04
Pb (0.333, 0.333, 0.115)  -0.04


3.
The following is a DFT calculation (PBE) of a geometry-optimized CePr3Pb2S structure.

Properties
raw formation energy	-0.77	eV/atom

Cell lengths 5.243, 5.316, 9.183 Å; angles 106.83, 106.59, 90.00 degrees
Last column: magnetic moment on the atom in μB.
Sites, in units of the cell vectors:
Ce (0.500, 0.000, 0.000)  0.69
Pr (0.000, 0.500, 0.000)  0.04
Pr (0.170, 0.170, 0.341)  0.02
Pr (0.830, 0.830, 0.659)  0.02
Pb (0.635, 0.635, 0.269)  -0.01
Pb (0.365, 0.365, 0.731)  -0.01
S (0.000, 0.000, 0.000)  -0.01


4.
The following is a DFT calculation (PBE) of a geometry-optimized CePrPbSe structure.

Properties
raw formation energy	-1.12	eV/atom

Cell lengths 4.426, 4.458, 6.302 Å; angles 90.02, 90.00, 90.00 degrees
Last column: magnetic moment on the atom in μB.
Sites, in units of the cell vectors:
Ce (0.000, 0.892, 0.592)  0.96
Pr (0.500, 0.391, 0.093)  -0.01
Pb (0.000, 0.891, 0.092)  -0.01
Se (0.500, 0.392, 0.592)  -0.02


5.
The following is a DFT calculation (PBE) of a geometry-optimized CePrSnPb structure.

Properties
energy relative to the elements	-0.47	eV per atom

Cell lengths 5.546, 5.546, 5.546 Å; angles 60.00, 60.00, 60.00 degrees
Last column: magnetic moment on the atom in μB.
Sites, in units of the cell vectors:
Pb (0.250, 0.250, 0.250)  0.04
Pr (0.000, 0.000, 0.000)  0.19
Sn (0.750, 0.750, 0.750)  0.05
Ce (0.500, 0.500, 0.500)  1.01


6.
The following is a DFT calculation (PBE) of a geometry-optimized Ce2PrTmPb4 structure.

Properties
energy relative to the elements	-0.38	eV per atom

Cell lengths 5.228, 5.228, 10.890 Å; angles 76.11, 76.11, 60.00 degrees
Last column: magnetic moment on the atom in μB.
Sites, in units of the cell vectors:
Ce (0.754, 0.754, 0.738)  0.80
Ce (0.246, 0.246, 0.262)  0.80
Pr (0.000, 0.000, 0.000)  0.01
Tm (0.500, 0.500, 0.500)  0.03
Pb (0.377, 0.377, 0.868)  0.01
Pb (0.872, 0.872, 0.383)  0.01
Pb (0.128, 0.128, 0.617)  0.01
Pb (0.623, 0.623, 0.132)  0.01